1.
Compound: LaInFe2
Source: Alexandria
Functional: SCAN
Structure: PBEsol geometry

The structure in POSCAR format:
```
LaInFe2
1.0
-1.1230 -4.2432 -1.9727
-1.3148 -3.6840 2.8030
-4.5666 -1.5175 -0.0058
La In Fe
1 1 2
Cartesian
-1.7511 -2.3612 0.2061
-3.5022 -4.7223 0.4123
0.0000 0.0000 0.0000
-5.2533 -7.0835 0.6184
```

DFT formation energy, eV/atom: 0.3146
SG: F-43m
Total energy, eV for the cell shown: -111.49

=====

2.
Compound: FeCu2Si
Source: Alexandria
Functional: SCAN
Structure: PBEsol geometry

The structure in POSCAR format:
```
FeCu2Si
1.0
3.9545 0.0000 0.0000
1.9773 3.4247 0.0000
1.9773 1.1416 3.2288
Cu Si Fe
2 1 1
Cartesian
5.9318 3.4247 2.4216
0.0000 0.0000 0.0000
1.9773 1.1416 0.8072
3.9545 2.2831 1.6144
```

SG: F-43m
Total energy, eV for the cell shown: -58.32
Formation energy without anion corrections, meV per atom: 56.0

=====

3.
Compound: Na3Ge
Source: Alexandria
Functional: SCAN
Structure: PBEsol geometry

The structure in POSCAR format:
```
Na3Ge
1.0
5.1459 0.0000 0.0000
2.5730 4.4565 0.0000
2.5730 1.4855 4.2016
Ge Na
1 3
Cartesian
5.1459 2.9710 2.1008
7.7189 4.4565 3.1512
0.0000 0.0000 0.0000
2.5730 1.4855 1.0504
```

DFT formation energy, eV/atom: -0.0244
SG: Fm-3m
Total energy, eV for the cell shown: -31.83

=====

In order of appearance, DOS at the Fermi energy = 4.31; 1.94; 1.72 states/eV/cell.
In order of appearance, calculated density = 7.701; 8.013; 2.440 g/cm3.